The following is a PBEsol calculation of Au5C after structural relaxation, from Alexandria.

Output
**Size of the total moment**: 1.472 μB/f.u.
**DFT formation energy**: 1.327 eV/atom
**Space-group type**: F-43m (216)
**Fermi-level density of states**: 1.94 states/eV/cell

Lattice parameters (Å, degrees): 5.3388 5.3388 5.3388 60.00 60.00 60.00
Fractional positions:
Au 0.0000 0.0000 0.0000
Au 0.3750 0.3750 0.3750
Au 0.3750 0.3750 0.8749
Au 0.3750 0.8749 0.3750
Au 0.8749 0.3750 0.3750
C 0.7500 0.7500 0.7500